A relaxed Pm6P2AuSe3 crystal, computed with PBE-GGA.

a b c (Å): 4.152 8.470 9.387
angles (deg): 103.04 102.78 90.00
Atoms (fractional coordinates):
Pm1 0.330 0.900 0.660
Pm2 0.671 0.574 0.343
Pm3 0.670 0.100 0.340
Pm4 0.005 0.256 0.010
Pm5 0.995 0.744 0.990
Pm6 0.329 0.426 0.657
P1 0.833 0.665 0.665
P2 0.167 0.335 0.335
Au1 0.500 0.000 0.000
Se1 0.500 0.500 0.000
Se2 0.834 0.167 0.669
Se3 0.166 0.833 0.331

Summary:
- Formation energy from raw total energies: -1861 kJ/mol of formula units

***

A relaxed Pm4PAuSe2 crystal, computed with PBE-GGA.

a b c (Å): 4.154 7.298 7.348
angles (deg): 71.28 90.00 90.00
Atoms (fractional coordinates):
Pm1 0.000 0.748 0.741
Pm2 0.000 0.252 0.259
Pm3 0.500 0.740 0.265
Pm4 0.500 0.260 0.735
P1 0.000 0.500 0.500
Au1 0.500 0.500 0.000
Se1 0.000 0.000 0.000
Se2 0.500 0.000 0.500

Summary:
- Formation energy from raw total energies: -1163 kJ/mol of formula units

***

A relaxed Pm8P3AuSe4 crystal, computed with PBE-GGA.

a b c (Å): 8.361 8.394 8.361
angles (deg): 119.87 120.00 90.00
Atoms (fractional coordinates):
Pm1 0.252 0.741 0.989
Pm2 0.252 0.741 0.504
Pm3 0.257 0.270 0.514
Pm4 0.737 0.741 0.989
Pm5 0.263 0.259 0.011
Pm6 0.743 0.730 0.486
Pm7 0.748 0.259 0.496
Pm8 0.748 0.259 0.011
P1 0.500 0.500 0.000
P2 0.500 0.500 0.500
P3 0.000 0.500 0.500
Au1 0.000 0.500 0.000
Se1 0.500 0.000 0.000
Se2 0.500 0.000 0.500
Se3 0.000 0.000 0.000
Se4 0.000 0.000 0.500

Summary:
- Formation energy from raw total energies: -2538 kJ/mol of formula units

***

A relaxed Pm4Te2PAu crystal, computed with PBE-GGA.

a b c (Å): 4.257 7.600 7.569
angles (deg): 108.50 90.00 90.00
Atoms (fractional coordinates):
Pm1 0.500 0.229 0.221
Pm2 0.500 0.771 0.779
Pm3 0.000 0.248 0.773
Pm4 0.000 0.752 0.227
Te1 0.500 0.000 0.500
Te2 0.000 0.500 0.500
P1 0.000 0.000 0.000
Au1 0.500 0.500 0.000

Summary:
- Formation energy from raw total energies: -1005 kJ/mol of formula units

***

A relaxed Pm8Te4P3Au crystal, computed with PBE-GGA.

a b c (Å): 8.570 8.728 8.570
angles (deg): 119.40 120.00 90.00
Atoms (fractional coordinates):
Pm1 0.245 0.721 0.976
Pm2 0.245 0.721 0.490
Pm3 0.263 0.289 0.526
Pm4 0.731 0.721 0.976
Pm5 0.269 0.279 0.024
Pm6 0.737 0.711 0.474
Pm7 0.755 0.279 0.510
Pm8 0.755 0.279 0.024
Te1 0.500 0.000 0.000
Te2 0.500 0.000 0.500
Te3 0.000 0.000 0.000
Te4 0.000 0.000 0.500
P1 0.500 0.500 0.000
P2 0.500 0.500 0.500
P3 0.000 0.500 0.500
Au1 0.000 0.500 0.000

Summary:
- Formation energy from raw total energies: -2215 kJ/mol of formula units

***

A relaxed Pm6Te3P2Au crystal, computed with PBE-GGA.

a b c (Å): 4.247 8.815 9.726
angles (deg): 103.88 102.61 90.00
Atoms (fractional coordinates):
Pm1 0.333 0.889 0.665
Pm2 0.675 0.564 0.350
Pm3 0.667 0.111 0.335
Pm4 0.011 0.245 0.021
Pm5 0.989 0.755 0.979
Pm6 0.325 0.436 0.650
Te1 0.500 0.500 0.000
Te2 0.836 0.168 0.672
Te3 0.164 0.832 0.328
P1 0.832 0.664 0.663
P2 0.168 0.336 0.337
Au1 0.500 0.000 0.000

Summary:
- Formation energy from raw total energies: -1623 kJ/mol of formula units

***

A relaxed Pr2P3Au2 crystal, computed with PBE-GGA.

a b c (Å): 4.221 8.053 9.610
angles (deg): 82.05 77.31 74.81
Atoms (fractional coordinates):
Pr1 0.268 0.126 0.339
Pr2 0.732 0.874 0.661
Pr3 0.396 0.267 0.941
Pr4 0.604 0.733 0.059
P1 0.075 0.962 0.887
P2 0.925 0.038 0.113
P3 0.163 0.492 0.182
P4 0.837 0.508 0.818
P5 0.380 0.773 0.467
P6 0.620 0.227 0.533
Au1 0.054 0.210 0.681
Au2 0.946 0.790 0.319
Au3 0.381 0.561 0.677
Au4 0.619 0.439 0.323

Summary:
- VASP energy: -76.8 eV for the cell shown

***

A relaxed PrPAu crystal, computed with PBE-GGA.

a b c (Å): 4.176 4.272 4.272
angles (deg): 120.00 90.00 90.00
Atoms (fractional coordinates):
Pr1 0.667 0.667 0.333
P1 0.166 0.000 0.000
Au1 0.167 0.333 0.667

Summary:
- VASP energy: -16.3 eV for the cell shown

***

A relaxed PrPAu crystal, computed with PBE-GGA.

a b c (Å): 3.913 3.913 9.699
angles (deg): 101.64 101.64 90.00
Atoms (fractional coordinates):
P1 0.063 0.063 0.126
P2 0.937 0.937 0.874
Pr1 0.617 0.617 0.234
Pr2 0.383 0.383 0.766
Au1 0.782 0.782 0.565
Au2 0.218 0.218 0.435

Summary:
- VASP energy: -31.8 eV for the cell shown

***

A relaxed PrP2Au4 crystal, computed with PBE-GGA.

a b c (Å): 4.279 7.968 7.968
angles (deg): 90.00 90.00 90.00
Atoms (fractional coordinates):
Pr1 0.500 0.000 0.000
Pr2 0.000 0.500 0.500
P1 0.000 0.221 0.779
P2 0.000 0.779 0.221
P3 0.500 0.721 0.721
P4 0.500 0.279 0.279
Au1 0.000 0.072 0.323
Au2 0.000 0.928 0.677
Au3 0.500 0.177 0.572
Au4 0.500 0.823 0.428
Au5 0.500 0.428 0.823
Au6 0.500 0.572 0.177
Au7 0.000 0.323 0.072
Au8 0.000 0.677 0.928

Summary:
- VASP energy: -62.4 eV for the cell shown

***

A relaxed PrPAu crystal, computed with PBE-GGA.

a b c (Å): 4.122 7.239 9.437
angles (deg): 90.00 90.00 90.00
Atoms (fractional coordinates):
Pr1 0.250 0.331 0.147
Pr2 0.750 0.669 0.853
Pr3 0.750 0.169 0.647
Pr4 0.250 0.831 0.353
P1 0.250 0.871 0.663
P2 0.750 0.129 0.337
P3 0.750 0.629 0.163
P4 0.250 0.371 0.837
Au1 0.250 0.529 0.601
Au2 0.750 0.471 0.399
Au3 0.750 0.971 0.101
Au4 0.250 0.029 0.899

Summary:
- VASP energy: -65.4 eV for the cell shown

***

A relaxed Pr2P3Au6 crystal, computed with PBE-GGA.

a b c (Å): 4.316 7.739 7.739
angles (deg): 120.00 90.00 90.00
Atoms (fractional coordinates):
Pr1 0.000 0.667 0.333
Pr2 0.000 0.333 0.667
P1 0.500 0.360 0.360
P2 0.500 0.640 0.000
P3 0.500 0.000 0.640
Au1 0.500 0.673 0.673
Au2 0.500 0.000 0.327
Au3 0.000 0.210 0.210
Au4 0.000 0.790 0.000
Au5 0.500 0.327 0.000
Au6 0.000 0.000 0.790

Summary:
- VASP energy: -50.8 eV for the cell shown

***

A relaxed Pr2P3Au3 crystal, computed with PBE-GGA.

a b c (Å): 7.962 7.398 7.398
angles (deg): 60.00 90.00 90.00
Atoms (fractional coordinates):
Pr1 0.000 0.333 0.333
Pr2 0.500 0.667 0.667
Pr3 0.000 0.667 0.667
Pr4 0.500 0.333 0.333
P1 0.750 0.000 0.645
P2 0.750 0.645 0.355
P3 0.750 0.355 0.000
P4 0.250 0.000 0.355
P5 0.250 0.355 0.645
P6 0.250 0.645 0.000
Au1 0.750 0.000 0.292
Au2 0.750 0.292 0.708
Au3 0.750 0.708 0.000
Au4 0.250 0.000 0.708
Au5 0.250 0.708 0.292
Au6 0.250 0.292 0.000

Summary:
- VASP energy: -82.5 eV for the cell shown

***

A relaxed PrPAu crystal, computed with PBE-GGA.

a b c (Å): 4.074 4.074 8.613
angles (deg): 89.96 90.04 90.00
Atoms (fractional coordinates):
Pr1 0.750 0.250 0.185
Pr2 0.250 0.750 0.815
P1 0.250 0.750 0.153
P2 0.750 0.250 0.847
Au1 0.750 0.250 0.560
Au2 0.250 0.750 0.440

Summary:
- VASP energy: -32.3 eV for the cell shown

***

A relaxed PrP2Pt7Au2 crystal, computed with PBE-GGA.

a b c (Å): 3.993 3.993 14.445
angles (deg): 82.08 82.08 90.01
Atoms (fractional coordinates):
Pr1 0.000 0.000 0.000
P1 0.627 0.627 0.746
P2 0.373 0.373 0.254
Pt1 0.500 0.500 0.000
Pt2 0.296 0.296 0.409
Pt3 0.704 0.704 0.591
Pt4 0.918 0.418 0.164
Pt5 0.418 0.918 0.164
Pt6 0.582 0.082 0.836
Pt7 0.082 0.582 0.836
Au1 0.799 0.799 0.402
Au2 0.201 0.201 0.598

Summary:
- VASP energy: -69.1 eV for the cell shown

***

A relaxed Pr3P2Rh9Au crystal, computed with PBE-GGA.

a b c (Å): 6.011 6.011 9.421
angles (deg): 90.00 90.00 120.00
Atoms (fractional coordinates):
Pr1 0.333 0.667 0.654
Pr2 0.000 0.000 0.000
Pr3 0.667 0.333 0.346
P1 0.333 0.667 0.157
P2 0.667 0.333 0.843
Rh1 0.848 0.152 0.727
Rh2 0.848 0.695 0.727
Rh3 0.305 0.152 0.727
Rh4 0.695 0.848 0.273
Rh5 0.152 0.305 0.273
Rh6 0.152 0.848 0.273
Rh7 0.500 0.000 0.000
Rh8 0.000 0.500 0.000
Rh9 0.500 0.500 0.000
Au1 0.000 0.000 0.500

Summary:
- VASP energy: -102.2 eV for the cell shown

***

A relaxed Pr6P2AuS3 crystal, computed with PBE-GGA.

a b c (Å): 4.164 8.413 9.348
angles (deg): 102.83 102.87 90.00
Atoms (fractional coordinates):
Pr1 0.328 0.907 0.656
Pr2 0.669 0.580 0.338
Pr3 0.672 0.093 0.344
Pr4 0.001 0.264 0.003
Pr5 0.999 0.736 0.997
Pr6 0.331 0.420 0.662
P1 0.834 0.666 0.667
P2 0.166 0.334 0.333
Au1 0.500 0.000 0.000
S1 0.500 0.500 0.000
S2 0.834 0.166 0.667
S3 0.166 0.834 0.333

Summary:
- Formation energy from raw total energies: -1915 kJ/mol of formula units

***

A relaxed Pr4PAuS2 crystal, computed with PBE-GGA.

a b c (Å): 4.160 7.277 7.298
angles (deg): 71.14 90.00 90.00
Atoms (fractional coordinates):
Pr1 0.000 0.762 0.735
Pr2 0.000 0.238 0.265
Pr3 0.500 0.753 0.261
Pr4 0.500 0.247 0.739
P1 0.000 0.500 0.500
Au1 0.500 0.500 0.000
S1 0.000 0.000 0.000
S2 0.500 0.000 0.500

Summary:
- Formation energy from raw total energies: -1202 kJ/mol of formula units

***

A relaxed Pr4Te2PAu crystal, computed with PBE-GGA.

a b c (Å): 4.328 7.702 7.687
angles (deg): 108.57 90.00 90.00
Atoms (fractional coordinates):
Pr1 0.500 0.229 0.222
Pr2 0.500 0.771 0.778
Pr3 0.000 0.247 0.771
Pr4 0.000 0.753 0.229
Te1 0.500 0.000 0.500
Te2 0.000 0.500 0.500
P1 0.000 0.000 0.000
Au1 0.500 0.500 0.000

Summary:
- Formation energy from raw total energies: -1002 kJ/mol of formula units

***

A relaxed P2Pt2Au crystal, computed with PBE-GGA.

a b c (Å): 3.937 3.937 6.223
angles (deg): 71.56 71.56 90.00
Atoms (fractional coordinates):
P1 0.750 0.250 0.500
P2 0.250 0.750 0.500
Au1 0.000 0.000 0.000
Pt1 0.375 0.375 0.251
Pt2 0.625 0.625 0.749

Summary:
- Energy relative to the lowest polymorph listed for this composition: 0.132 eV/atom

***

A relaxed PPtAu2 crystal, computed with PBE-GGA.

a b c (Å): 2.898 4.739 4.930
angles (deg): 90.00 90.00 90.00
Atoms (fractional coordinates):
P1 0.500 0.000 0.500
Pt1 0.000 0.500 0.500
Au1 0.000 0.000 0.000
Au2 0.500 0.500 0.000

Summary:
- VASP energy: -17.0 eV for the cell shown

***

A relaxed PPtAu2 crystal, computed with PBE-GGA.

a b c (Å): 2.872 2.872 9.618
angles (deg): 90.00 90.00 121.20
Atoms (fractional coordinates):
P1 0.500 0.500 0.500
Pt1 0.500 0.500 0.000
Au1 0.000 0.000 0.255
Au2 0.000 0.000 0.745

Summary:
- VASP energy: -16.9 eV for the cell shown

***

Number 1: magnetic moment 0.000 Bohr magnetons per cell. Number 2: magnetic moment 0.000 Bohr magnetons per cell. Number 3: magnetic moment 0.000 Bohr magnetons per cell. Number 4: magnetic moment 0.000 Bohr magnetons per cell. Number 5: magnetic moment 0.000 Bohr magnetons per cell. Number 6: magnetic moment 0.000 Bohr magnetons per cell. Number 7: magnetic moment 0.000 Bohr magnetons per cell. Number 8: magnetic moment 0.000 Bohr magnetons per cell. Number 9: magnetic moment 0.000 Bohr magnetons per cell. Number 10: magnetic moment 0.000 Bohr magnetons per cell. Number 11: magnetic moment 0.000 Bohr magnetons per cell. Number 12: magnetic moment 0.000 Bohr magnetons per cell. Number 13: magnetic moment 0.000 Bohr magnetons per cell. Number 14: magnetic moment 0.000 Bohr magnetons per cell. Number 15: magnetic moment 0.000 Bohr magnetons per cell. Number 16: magnetic moment 0.000 Bohr magnetons per cell. Number 17: magnetic moment 0.000 Bohr magnetons per cell. Number 18: magnetic moment 0.000 Bohr magnetons per cell. Number 19: magnetic moment 0.000 Bohr magnetons per cell. Number 20: magnetic moment 0.000 Bohr magnetons per cell. Number 21: magnetic moment 0.000 Bohr magnetons per cell. Number 22: magnetic moment 0.000 Bohr magnetons per cell.